The following is a DFT calculation (PBE) of an optimized crystal structure of AcP2Pt7Au.

```
data_AcP2Pt7Au
_cell_length_a 4.1053
_cell_length_b 4.1053
_cell_length_c 29.4085
_cell_angle_alpha 90.00
_cell_angle_beta 90.00
_cell_angle_gamma 90.00
_symmetry_space_group_name_H-M 'I -4 m 2'
_symmetry_Int_Tables_number 119
_symmetry_space_group_name_Hall 'I -4 -2'
loop_
_atom_site_label
_atom_site_type_symbol
_atom_site_fract_x
_atom_site_fract_y
_atom_site_fract_z
Ac1 Ac 0.0000 0.0000 0.0000
P1 P 0.0000 0.0000 0.3774
Pt1 Pt 0.0000 0.0000 0.3045
Pt2 Pt 0.0000 0.0000 0.5000
Pt3 Pt 0.0000 0.5000 0.0818
Pt4 Pt 0.0000 0.5000 0.5817
Au1 Au 0.0000 0.5000 0.2500
```

Summary:
DFT formation energy ... -2.26 eV/f.u.
Total magnetic moment ... 0.0 μB/cell
E ... -5.70 eV/atom


The following is a DFT calculation (PBE) of an optimized crystal structure of ZnGaIr.

```
data_ZnGaIr
_cell_length_a 4.2411
_cell_length_b 4.2411
_cell_length_c 2.9418
_cell_angle_alpha 90.00
_cell_angle_beta 90.00
_cell_angle_gamma 120.00
_symmetry_space_group_name_H-M 'P -6 m 2'
_symmetry_Int_Tables_number 187
_symmetry_space_group_name_Hall 'P -6 2'
loop_
_atom_site_label
_atom_site_type_symbol
_atom_site_fract_x
_atom_site_fract_y
_atom_site_fract_z
Zn1 Zn 0.0000 0.0000 0.0000
Ga1 Ga 0.3333 0.6667 0.5000
Ir1 Ir 0.6667 0.3333 0.5000
```

Summary:
DFT formation energy ... -0.62 eV/f.u.
Total magnetic moment ... 0.0 μB/cell
E ... -4.59 eV/atom


The following is a DFT calculation (PBE) of an optimized crystal structure of Ba7Tl2Ga2.

```
data_Ba7Tl2Ga2
_cell_length_a 8.5937
_cell_length_b 12.8883
_cell_length_c 9.0327
_cell_angle_alpha 90.00
_cell_angle_beta 90.00
_cell_angle_gamma 90.00
_symmetry_space_group_name_H-M 'C m m m'
_symmetry_Int_Tables_number 65
_symmetry_space_group_name_Hall '-C 2 2'
loop_
_atom_site_label
_atom_site_type_symbol
_atom_site_fract_x
_atom_site_fract_y
_atom_site_fract_z
Ba1 Ba 0.0000 0.0000 0.0000
Ba2 Ba 0.0000 0.5000 0.2792
Ba3 Ba 0.2500 0.2500 0.2946
Tl1 Tl 0.0000 0.2981 0.0000
Ga1 Ga 0.1466 0.0000 0.5000
```

Summary:
DFT formation energy ... -1.61 eV/f.u.
Total magnetic moment ... 0.0 μB/cell
E ... -2.35 eV/atom


The following is a DFT calculation (PBE) of an optimized crystal structure of BaTc2Ir.

```
data_BaTc2Ir
_cell_length_a 3.1592
_cell_length_b 5.5237
_cell_length_c 9.6159
_cell_angle_alpha 90.00
_cell_angle_beta 90.00
_cell_angle_gamma 90.00
_symmetry_space_group_name_H-M 'I m m 2'
_symmetry_Int_Tables_number 44
loop_
_symmetry_equiv_pos_as_xyz
'x,y,z'
'-x,-y,z'
'-x,y,z'
'x,-y,z'
'x+1/2,y+1/2,z+1/2'
'-x+1/2,-y+1/2,z+1/2'
'-x+1/2,y+1/2,z+1/2'
'x+1/2,-y+1/2,z+1/2'
loop_
_atom_site_label
_atom_site_type_symbol
_atom_site_fract_x
_atom_site_fract_y
_atom_site_fract_z
Ba1 Ba 0.0000 0.0000 0.0000
Tc1 Tc 0.0000 0.0000 0.5122
Tc2 Tc 0.0000 0.5000 0.1983
Ir1 Ir 0.0000 0.5000 0.7963
```

Summary:
DFT formation energy ... 3.55 eV/f.u.
Polymorph energy (0 for the lowest one) ... 0.569 eV per atom
Total magnetic moment ... 0.0 μB/cell
E ... -6.99 eV/atom